Below is a relaxed structure of Sc2W, with properties calculated at the PBEsol level.

Unit cell a=7.4836 b=7.4836 c=7.4836 alpha=158.04 beta=158.04 gamma=31.25
Closest atoms and distances in Å follow each position.
Element x y z (fractional)
1 Sc 0.1520 0.1520 0.0000  4 Sc 2.85, 4 W 2.98
2 Sc 0.8480 0.8480 0.0000  4 Sc 2.85, 4 W 2.98
3 W 0.5000 0.5000 0.0000  4 W 2.85, 8 Sc 2.98

=====

Below is a relaxed structure of ScW, with properties calculated at the PBEsol level.

Unit cell a=2.8910 b=2.8910 c=4.9120 alpha=90.00 beta=90.00 gamma=120.00
Closest atoms and distances in Å follow each position.
Element x y z (fractional)
1 Sc 0.0000 0.0000 0.0000  6 Sc 2.89, 6 W 2.97
2 W 0.6667 0.3333 0.5000  6 W 2.89, 6 Sc 2.97

=====

Below is a relaxed structure of ScW, with properties calculated at the PBEsol level.

Unit cell a=3.0857 b=3.0857 c=9.2843 alpha=90.00 beta=90.00 gamma=120.00
Closest atoms and distances in Å follow each position.
Element x y z (fractional)
1 Sc 0.3333 0.6667 0.3464  3 W 2.89, 6 Sc 3.09
2 Sc 0.6667 0.3333 0.6536  3 W 2.89, 6 Sc 3.09
3 W 0.3333 0.6667 0.8983  3 W 2.60, 3 Sc 2.89
4 W 0.6667 0.3333 0.1017  3 W 2.60, 3 Sc 2.89

=====

no.,relative energy among the computed polymorphs (eV/atom),energy of formation (eV/atom)
1,0.047,0.260
2,0.319,0.429
3,0.281,0.391